An optimized crystal structure of AgBO2, computed with PBE.

```
data_AgBO2
_chemical_formula_sum 'Ag3 B3 O6'
_cell_length_a 3.3244
_cell_length_b 3.3244
_cell_length_c 16.9955
_cell_angle_alpha 90.00
_cell_angle_beta 90.00
_cell_angle_gamma 120.00
_space_group_name_H-M_alt 'R -3 m'
_space_group_IT_number 166
_space_group_name_Hall '-R 3 2"'
loop_
_atom_site_label
_atom_site_type_symbol
_atom_site_fract_x
_atom_site_fract_y
_atom_site_fract_z
Ag1 Ag 0.0000 0.0000 0.0000
B1 B 0.0000 0.0000 0.5000
O1 O 0.0000 0.0000 0.4256
```

Output
For the volume, the calculation gives 162.7 Å³/cell. As for the total magnetization: 0.00 μB per cell. For the total energy, the calculation gives -6.082 eV/atom. As for the uncorrected formation energy: -1.22 eV/atom.